Record 1
Below is an optimized crystal structure of Pr3TlP, with properties calculated at the PBE level.

Output
- energy relative to the elements (eV per atom) = -0.6206
- spin magnetization (μB/f.u.) = 0.000

abc: 5.529 5.529 5.529
angles: 90.00 90.00 90.00
Space group Pm-3m (No. 221)
Symmetry-distinct sites (fractional):
Pr: 0.000 0.000 0.500 x3
Tl: 0.500 0.500 0.500 x1
P: 0.000 0.000 0.000 x1



Record 2
Below is an optimized crystal structure of Ba2MgSe, with properties calculated at the PBE level.

Output
- ΔE_f (raw) (meV/atom) = -672
- spin magnetization (μB/f.u.) = 0.000

abc: 4.3463 4.3463 31.0640
angles: 90.00 90.00 120.00
Space group R3m (No. 160, hexagonal axes)
Symmetry-distinct sites (fractional):
Ba: 0.0000 0.0000 0.0000 x3
Ba: 0.0000 0.0000 0.2058 x3
Mg: 0.0000 0.0000 0.4465 x3
Se: 0.0000 0.0000 0.7357 x3



Record 3
Below is an optimized crystal structure of HoCd2TcO6, with properties calculated at the PBE level.

Output
- ΔE_f (raw) (meV/atom) = -1600
- spin magnetization (μB/f.u.) = 0.000

abc: 5.704 5.704 4.610
angles: 90.00 90.00 90.00
Space group P4mm (No. 99)
Symmetry-distinct sites (fractional):
Ho: 0.000 0.000 0.000 x1
Cd: 0.000 0.500 0.367 x2
Tc: 0.500 0.500 0.956 x1
O: 0.000 0.000 0.530 x1
O: 0.274 0.274 0.098 x4
O: 0.500 0.500 0.585 x1



Record 4
Below is an optimized crystal structure of SmTiTlO4, with properties calculated at the PBE level.

Output
- ΔE_f (raw) (meV/atom) = -2643
- spin magnetization (μB/f.u.) = 0.000

abc: 6.155 6.100 7.594
angles: 90.00 105.71 90.00
Space group P2_1/m (No. 11)
Symmetry-distinct sites (fractional):
Sm: 0.191 0.250 0.057 x2
Ti: 0.281 0.750 0.848 x2
Tl: 0.315 0.250 0.594 x2
O: 0.077 0.524 0.841 x4
O: 0.476 0.750 0.704 x2
O: 0.483 0.750 0.068 x2



Record 5
Below is an optimized crystal structure of Ce2AgH, with properties calculated at the PBE level.

Output
- spin magnetization (μB/f.u.) = 0.391
- final energy (eV per atom) = -4.63

abc: 3.1841 3.1841 25.9516
angles: 90.00 90.00 120.00
Space group R3m (No. 160, hexagonal axes)
Symmetry-distinct sites (fractional):
Ce: 0.0000 0.0000 0.0000 x3
Ce: 0.0000 0.0000 0.2084 x3
Ag: 0.0000 0.0000 0.4368 x3
H: 0.0000 0.0000 0.6037 x3



Record 6
Below is an optimized crystal structure of Mg2ZnTe, with properties calculated at the PBE level.

Output
- ΔE_f (raw) (meV/atom) = -234
- spin magnetization (μB/f.u.) = 0.000

abc: 8.010 4.029 6.241
angles: 90.00 106.65 90.00
Space group C2/m (No. 12)
Symmetry-distinct sites (fractional):
Mg: 0.246 0.000 0.215 x4
Zn: 0.000 0.500 0.000 x2
Te: 0.000 0.000 0.500 x2



Record 7
Below is an optimized crystal structure of PmNdNiRu, with properties calculated at the PBE level.

Output
- energy relative to the elements (eV per atom) = -0.2508
- spin magnetization (μB/f.u.) = 0.000

abc: 4.098 4.064 10.828
angles: 90.00 90.00 90.00
Space group Amm2 (No. 38)
Symmetry-distinct sites (fractional):
Pm: 0.000 0.000 0.000 x2
Nd: 0.500 0.000 0.285 x2
Ni: 0.000 0.000 0.708 x2
Ru: 0.500 0.000 0.573 x2



Record 8
Below is an optimized crystal structure of SrMg2Zn2In2, with properties calculated at the PBE level.

Output
- energy relative to the elements (eV per atom) = -0.2012
- spin magnetization (μB/f.u.) = 0.000

abc: 4.6796 4.6796 27.2904
angles: 90.00 90.00 120.00
Space group R-3m (No. 166, hexagonal axes)
Symmetry-distinct sites (fractional):
Sr: 0.0000 0.0000 0.0000 x3
Mg: 0.0000 0.0000 0.1371 x6
Zn: 0.0000 0.0000 0.4208 x6
In: 0.0000 0.0000 0.2508 x6



Record 9
Below is an optimized crystal structure of Tb7Pr2Th, with properties calculated at the PBE level.

Output
- energy relative to the elements (eV per atom) = 0.1596
- spin magnetization (μB/f.u.) = 0.001

abc: 6.630 28.946 3.483
angles: 90.00 90.00 90.00
Space group Cmmm (No. 65)
Symmetry-distinct sites (fractional):
Tb: 0.000 0.000 0.000 x2
Tb: 0.000 0.314 0.500 x4
Tb: 0.244 0.403 0.000 x8
Pr: 0.000 0.205 0.000 x4
Th: 0.000 0.500 0.500 x2



Record 10
Below is an optimized crystal structure of Tb2Tm3Ga4, with properties calculated at the PBE level.

Output
- energy relative to the elements (eV per atom) = -0.4109
- spin magnetization (μB/f.u.) = 0.000

abc: 6.779 15.515 8.504
angles: 90.00 90.00 90.00
Space group Cmce (No. 64)
Symmetry-distinct sites (fractional):
Tb: 0.000 0.108 0.081 x8
Tm: 0.000 0.000 0.500 x4
Tm: 0.250 0.213 0.750 x8
Ga: 0.000 0.188 0.458 x8
Ga: 0.250 0.028 0.750 x8



Record 11
Below is an optimized crystal structure of LiLu2Hg, with properties calculated at the PBE level.

Output
- energy relative to the elements (eV per atom) = -0.2242
- spin magnetization (μB/f.u.) = 0.000

abc: 5.026 5.026 3.741
angles: 90.00 90.00 90.00
Space group P4/mmm (No. 123)
Symmetry-distinct sites (fractional):
Li: 0.000 0.000 0.000 x1
Lu: 0.000 0.500 0.500 x2
Hg: 0.500 0.500 0.000 x1



Record 12
Below is an optimized crystal structure of PmScSiRu, with properties calculated at the PBE level.

Output
- ΔE_f (raw) (meV/atom) = -366
- spin magnetization (μB/f.u.) = 0.000

abc: 6.817 6.817 6.817
angles: 90.00 90.00 90.00
Space group F-43m (No. 216)
Symmetry-distinct sites (fractional):
Pm: 0.000 0.000 0.000 x4
Sc: 0.000 0.000 0.500 x4
Si: 0.250 0.250 0.750 x4
Ru: 0.250 0.250 0.250 x4



Record 13
Below is an optimized crystal structure of Nd2Ni4BiSb3, with properties calculated at the PBE level.

Output
- ΔE_f (raw) (meV/atom) = -566
- spin magnetization (μB/f.u.) = 0.000

abc: 4.508 4.508 10.158
angles: 90.00 90.00 90.00
Space group P-4m2 (No. 115)
Symmetry-distinct sites (fractional):
Nd: 0.000 0.500 0.230 x2
Ni: 0.000 0.000 0.000 x1
Ni: 0.000 0.500 0.631 x2
Ni: 0.500 0.500 0.000 x1
Bi: 0.000 0.000 0.500 x1
Sb: 0.000 0.500 0.876 x2
Sb: 0.500 0.500 0.500 x1



Record 14
Below is an optimized crystal structure of Sr2Hg2RhO6, with properties calculated at the PBE level.

Output
- ΔE_f (raw) (meV/atom) = -1333
- spin magnetization (μB/f.u.) = 1.027

abc: 6.046 10.914 6.012
angles: 90.00 92.66 90.00
Space group C2/m (No. 12)
Symmetry-distinct sites (fractional):
Sr: 0.000 0.158 0.000 x4
Hg: 0.000 0.361 0.500 x4
Rh: 0.000 0.500 0.000 x2
O: 0.137 0.358 0.192 x8
O: 0.237 0.000 0.186 x4



Record 15
Below is an optimized crystal structure of AcPrNdN3, with properties calculated at the PBE level.

Output
- ΔE_f (raw) (meV/atom) = -1139
- spin magnetization (μB/f.u.) = 0.000

abc: 6.410 3.741 9.612
angles: 90.00 101.91 90.00
Space group P2_1/m (No. 11)
Symmetry-distinct sites (fractional):
Ac: 0.156 0.250 0.198 x2
Pr: 0.272 0.750 0.544 x2
Nd: 0.349 0.250 0.858 x2
N: 0.031 0.250 0.673 x2
N: 0.252 0.750 0.985 x2
N: 0.473 0.750 0.350 x2



Record 16
Below is an optimized crystal structure of CePmPrCo, with properties calculated at the PBE level.

Output
- energy relative to the elements (eV per atom) = 0.0580
- spin magnetization (μB/f.u.) = 0.005

abc: 3.722 3.724 9.407
angles: 89.96 89.94 60.11
Space group P1 (No. 1)
Symmetry-distinct sites (fractional):
Ce: 0.000 0.000 0.000 x1
Pm: 0.001 0.002 0.364 x1
Pr: 0.334 0.338 0.684 x1
Co: 0.335 0.336 0.155 x1



Record 17
Below is an optimized crystal structure of AlNiMo2, with properties calculated at the PBE level.

Output
- energy relative to the elements (eV per atom) = -0.0427
- spin magnetization (μB/f.u.) = 0.700

abc: 6.136 6.136 6.136
angles: 90.00 90.00 90.00
Space group F-43m (No. 216)
Symmetry-distinct sites (fractional):
Al: 0.000 0.000 0.000 x4
Ni: 0.250 0.250 0.250 x4
Mo: 0.000 0.000 0.500 x4
Mo: 0.250 0.250 0.750 x4



Record 18
Below is an optimized crystal structure of NaPd7Pb2, with properties calculated at the PBE level.

Output
- energy relative to the elements (eV per atom) = 0.1646
- spin magnetization (μB/f.u.) = 0.000

abc: 7.313 14.260 4.247
angles: 90.00 90.00 90.00
Space group Cmmm (No. 65)
Symmetry-distinct sites (fractional):
Na: 0.000 0.000 0.000 x2
Pd: 0.000 0.187 0.000 x4
Pd: 0.000 0.500 0.500 x2
Pd: 0.184 0.102 0.500 x8
Pb: 0.000 0.303 0.500 x4



Record 19
Below is an optimized crystal structure of KScGe3, with properties calculated at the PBE level.

Output
- energy relative to the elements (eV per atom) = 0.1198
- spin magnetization (μB/f.u.) = 0.000

abc: 5.237 5.237 5.237
angles: 90.00 90.00 90.00
Space group Pm-3m (No. 221)
Symmetry-distinct sites (fractional):
K: 0.000 0.000 0.000 x1
Sc: 0.500 0.500 0.500 x1
Ge: 0.000 0.500 0.500 x3



Record 20
Below is an optimized crystal structure of LiP4Br12O4, with properties calculated at the PBE level.

Output
- ΔE_f (raw) (meV/atom) = -822
- spin magnetization (μB/f.u.) = 1.037

abc: 7.018 11.211 9.807
angles: 90.00 93.02 90.00
Space group Pm (No. 6)
Symmetry-distinct sites (fractional):
Li: 0.000 0.000 0.000 x1
P: 0.127 0.500 0.725 x1
P: 0.505 0.500 0.209 x1
P: 0.584 0.000 0.832 x1
P: 0.903 0.000 0.335 x1
Br: 0.153 0.000 0.477 x1
Br: 0.309 0.345 0.687 x2
Br: 0.324 0.344 0.158 x2
Br: 0.365 0.000 0.027 x1
Br: 0.723 0.500 0.057 x1
Br: 0.735 0.156 0.387 x2
Br: 0.806 0.164 0.859 x2
Br: 0.909 0.500 0.556 x1
O: 0.049 0.500 0.862 x1
O: 0.479 0.000 0.696 x1
O: 0.582 0.500 0.352 x1
O: 0.951 0.000 0.189 x1



no.,density (g/cm³)
1,6.5
2,3.7
3,6.5
4,5.6
5,8.5
6,4.2
7,8.3
8,4.8
9,8.1
10,8.2
11,9.8
12,6.7
13,8.8
14,6.5
15,8.2
16,7.1
17,8.0
18,8.9
19,3.5
20,2.5